## CaCrO (PBE with a Hubbard U)

Data for a geometry-optimized CaCrO structure.

Output
Calculated total energy (eV per atom): -6.164
DOS at the Fermi energy (states/eV/atom): 0.455

Unit cell a=3.7045 b=4.7714 c=6.6114 alpha=90.07 beta=95.20 gamma=90.09
Last column: nearest neighbours and their distance in Å.
Sites, in units of the cell vectors:
Ca: 0.2264 0.2499 0.3976  4 O 2.27-2.39
Ca: 0.7736 0.7501 0.6024  4 O 2.27-2.39
Cr: 0.2777 0.7502 0.0848  1 O 2.12
Cr: 0.7223 0.2498 0.9152  1 O 2.12
O: 0.2421 0.7499 0.4031  1 Cr 2.12, 2 Ca 2.27
O: 0.7579 0.2501 0.5969  1 Cr 2.12, 2 Ca 2.27